# 1
# Sn2GeAu, relaxed, DFT PBE
# Electronic total energy   -3.813 eV per atom
data_Sn2GeAu
_chemical_formula_sum 'Sn8 Ge4 Au4'
_symmetry_space_group_name_H-M 'P 1'
_symmetry_Int_Tables_number 1
_cell_length_a 7.179
_cell_length_b 7.179
_cell_length_c 7.179
_cell_angle_alpha 90.00
_cell_angle_beta 90.00
_cell_angle_gamma 90.00
loop_
_symmetry_equiv_pos_as_xyz
'x,y,z'
loop_
_atom_site_label
_atom_site_type_symbol
_atom_site_fract_x
_atom_site_fract_y
_atom_site_fract_z
Sn1 Sn 0.000 0.000 0.000
Sn2 Sn 0.000 0.500 0.500
Sn3 Sn 0.250 0.250 0.250
Sn4 Sn 0.250 0.750 0.750
Sn5 Sn 0.500 0.000 0.500
Sn6 Sn 0.500 0.500 0.000
Sn7 Sn 0.750 0.250 0.750
Sn8 Sn 0.750 0.750 0.250
Ge1 Ge 0.000 0.000 0.500
Ge2 Ge 0.000 0.500 0.000
Ge3 Ge 0.500 0.000 0.000
Ge4 Ge 0.500 0.500 0.500
Au1 Au 0.250 0.250 0.750
Au2 Au 0.250 0.750 0.250
Au3 Au 0.750 0.250 0.250
Au4 Au 0.750 0.750 0.750

=====

# 2
# BaPrAsO, relaxed, DFT PBE
# Relative energy among the computed polymorphs   548 meV/atom
# Total moment   0.455 μB per cell
data_BaPrAsO
_chemical_formula_sum 'Ba2 Pr2 As2 O2'
_symmetry_space_group_name_H-M 'P 1'
_symmetry_Int_Tables_number 1
_cell_length_a 4.971
_cell_length_b 4.971
_cell_length_c 10.187
_cell_angle_alpha 90.00
_cell_angle_beta 90.00
_cell_angle_gamma 90.00
loop_
_symmetry_equiv_pos_as_xyz
'x,y,z'
loop_
_atom_site_label
_atom_site_type_symbol
_atom_site_fract_x
_atom_site_fract_y
_atom_site_fract_z
Ba1 Ba 0.250 0.250 0.091
Ba2 Ba 0.750 0.750 0.909
Pr1 Pr 0.250 0.750 0.500
Pr2 Pr 0.750 0.250 0.500
As1 As 0.250 0.250 0.654
As2 As 0.750 0.750 0.346
O1 O 0.250 0.750 0.000
O2 O 0.750 0.250 0.000